This record from Alexandria describes Cs2YIrO6 after structural relaxation. The functional is PBE.

Cell lengths 6.666, 6.666, 5.780 Å; angles 90.00, 90.00, 120.00 degrees
Fractional coordinates of all 10 atoms:
Cs1 0.333 0.667 0.354
Cs2 0.667 0.333 0.646
Y1 0.000 0.000 0.000
Ir1 0.000 0.000 0.500
O1 0.132 0.265 0.706
O2 0.132 0.868 0.706
O3 0.265 0.132 0.294
O4 0.735 0.868 0.706
O5 0.868 0.132 0.294
O6 0.868 0.735 0.294

Output
**ΔE_f (raw)**: -1.555 eV per atom
**Magnetic moment**: 2.027 μB/f.u.


This record from Alexandria describes CsYIrO6 after structural relaxation. The functional is PBE.

Cell lengths 5.673, 5.673, 6.581 Å; angles 90.00, 90.00, 120.00 degrees
Fractional coordinates of all 9 atoms:
Cs1 0.000 0.000 0.000
Y1 0.333 0.667 0.500
Ir1 0.667 0.333 0.500
O1 0.409 0.047 0.667
O2 0.409 0.362 0.333
O3 0.638 0.047 0.333
O4 0.638 0.591 0.667
O5 0.953 0.362 0.667
O6 0.953 0.591 0.333

Output
**ΔE_f (raw)**: -1.457 eV per atom
**Magnetic moment**: 0.901 μB/f.u.


This record from Alexandria describes Cs2ZnIrO4 after structural relaxation. The functional is PBE.

Cell lengths 12.626, 10.870, 7.636 Å; angles 84.10, 58.91, 36.99 degrees
Fractional coordinates of all 16 atoms:
Cs1 0.047 0.047 0.703
Cs2 0.297 0.297 0.953
Cs3 0.703 0.703 0.047
Cs4 0.953 0.953 0.297
Zn1 0.125 0.125 0.125
Zn2 0.875 0.875 0.875
Ir1 0.375 0.375 0.375
Ir2 0.625 0.625 0.625
O1 0.035 0.700 0.528
O2 0.237 0.528 0.700
O3 0.300 0.965 0.763
O4 0.472 0.763 0.965
O5 0.528 0.237 0.035
O6 0.700 0.035 0.237
O7 0.763 0.472 0.300
O8 0.965 0.300 0.472

Output
**ΔE_f (raw)**: -1.029 eV per atom
**Magnetic moment**: 2.966 μB/f.u.


This record from Alexandria describes Cs2ZrIr3O12 after structural relaxation. The functional is PBE.

Cell lengths 7.529, 7.529, 7.529 Å; angles 57.94, 57.94, 57.94 degrees
Fractional coordinates of all 18 atoms:
Cs1 0.120 0.120 0.120
Cs2 0.880 0.880 0.880
Zr1 0.500 0.500 0.500
Ir1 0.000 0.500 0.500
Ir2 0.500 0.000 0.500
Ir3 0.500 0.500 0.000
O1 0.166 0.567 0.567
O2 0.185 0.185 0.577
O3 0.185 0.577 0.185
O4 0.423 0.815 0.815
O5 0.433 0.433 0.834
O6 0.433 0.834 0.433
O7 0.567 0.166 0.567
O8 0.567 0.567 0.166
O9 0.577 0.185 0.185
O10 0.815 0.423 0.815
O11 0.815 0.815 0.423
O12 0.834 0.433 0.433

Output
**ΔE_f (raw)**: -1.276 eV per atom
**Magnetic moment**: 5.002 μB/f.u.


This record from Alexandria describes Cs3IrOs after structural relaxation. The functional is PBE.

Cell lengths 6.140, 6.140, 6.140 Å; angles 90.00, 90.00, 90.00 degrees
Fractional coordinates of all 5 atoms:
Cs1 0.000 0.000 0.500
Cs2 0.000 0.500 0.000
Cs3 0.500 0.000 0.000
Ir1 0.000 0.000 0.000
Os1 0.500 0.500 0.500

Output
**Energy above the most stable polymorph in this dataset**: 0.000 eV/atom
**Formation enthalpy at 0 K**: 1.792 eV/atom
**Magnetic moment**: 2.780 μB/f.u.


This record from Alexandria describes CsIr2Os after structural relaxation. The functional is PBE.

Cell lengths 4.726, 4.726, 4.726 Å; angles 60.00, 60.00, 60.00 degrees
Fractional coordinates of all 4 atoms:
Cs1 0.000 0.000 0.000
Ir1 0.250 0.250 0.250
Ir2 0.750 0.750 0.750
Os1 0.500 0.500 0.500

Output
**Formation enthalpy at 0 K**: 1.969 eV/atom
**Magnetic moment**: 1.040 μB/f.u.


This record from Alexandria describes Cs2IrOs after structural relaxation. The functional is PBE.

Cell lengths 9.354, 9.354, 9.354 Å; angles 93.60, 93.60, 150.97 degrees
Fractional coordinates of all 8 atoms:
Cs1 0.375 0.209 0.334
Cs2 0.791 0.125 0.166
Cs3 0.875 0.041 0.666
Cs4 0.959 0.625 0.834
Ir1 0.000 0.000 0.000
Ir2 0.750 0.250 0.500
Os1 0.250 0.750 0.500
Os2 0.500 0.500 0.000

Output
**Energy above the most stable polymorph in this dataset**: 0.000 eV/atom
**Formation enthalpy at 0 K**: 1.181 eV/atom
**Magnetic moment**: 1.528 μB/f.u.


This record from Alexandria describes Cs2IrOs after structural relaxation. The functional is PBE.

Cell lengths 5.807, 5.807, 5.807 Å; angles 60.00, 60.00, 60.00 degrees
Fractional coordinates of all 4 atoms:
Cs1 0.250 0.250 0.250
Cs2 0.750 0.750 0.750
Ir1 0.000 0.000 0.000
Os1 0.500 0.500 0.500

Output
**Energy above the most stable polymorph in this dataset**: 1.138 eV/atom
**Formation enthalpy at 0 K**: 2.319 eV/atom
**Magnetic moment**: 4.999 μB/f.u.


Number 1: DFT total energy -6.233 eV/atom, volume 222 Å³/cell. Number 2: DFT total energy -6.560 eV/atom, volume 183 Å³/cell. Number 3: DFT total energy -4.989 eV/atom, volume 432 Å³/cell. Number 4: DFT total energy -6.628 eV/atom, volume 288 Å³/cell. Number 5: DFT total energy -2.738 eV/atom, volume 231 Å³/cell. Number 6: DFT total energy -5.483 eV/atom, volume 75 Å³/cell. Number 7: DFT total energy -4.269 eV/atom, volume 385 Å³/cell. Number 8: DFT total energy -3.131 eV/atom, volume 138 Å³/cell.